Record 1
VASP calculation (PBE) on a relaxed structure of NiIrPt.

It has space group P4/nmm (No. 129, origin choice 2), with a = 2.723 Å, b = 2.723 Å, c = 11.149 Å, α = 90.00°, β = 90.00° and γ = 90.00°. Symmetry generates all atoms from Ni at (0.250, 0.250, 0.242), Ir at (0.250, 0.250, 0.915) and Pt at (0.250, 0.250, 0.595).

For the energy of formation from the pure elements, the calculation gives -31 meV per atom. The value obtained for the energy relative to the lowest polymorph listed for this composition is 1 kJ/mol of formula units. The value obtained for the total magnetization is 0.002 μB per atom. The density of states at the Fermi level comes out at 5.09 states/eV/f.u.

=====

Record 2
VASP calculation (PBE) on a relaxed structure of Er3TmC2.

It has space group P-3m1 (No. 164), with a = 7.0705 Å, b = 7.0705 Å, c = 6.1465 Å, α = 90.00°, β = 90.00° and γ = 120.00°. Symmetry generates all atoms from Er at (0.1666, 0.3332, 0.2178), Tm at (0.3333, 0.6667, 0.7852), C at (0.0000, 0.0000, 0.0000) and C at (0.0000, 0.5000, 0.0000).

For the energy of formation from the pure elements, the calculation gives -302 meV per atom. The value obtained for the total magnetization is 0.031 μB per atom. The density of states at the Fermi level comes out at 4.61 states/eV/f.u.

=====

Record 3
VASP calculation (PBE) on a relaxed structure of MnBeCo.

It has space group P4/nmm (No. 129, origin choice 2), with a = 3.189 Å, b = 3.189 Å, c = 5.838 Å, α = 90.00°, β = 90.00° and γ = 90.00°. Symmetry generates all atoms from Mn at (0.250, 0.750, 0.000), Be at (0.250, 0.250, 0.302) and Co at (0.250, 0.250, 0.670).

For the energy of formation from the pure elements, the calculation gives 52 meV per atom. The value obtained for the energy relative to the lowest polymorph listed for this composition is 61 kJ/mol of formula units. The value obtained for the total magnetization is 0.000 μB per atom. The density of states at the Fermi level comes out at 2.91 states/eV/f.u.